No. 1
Here is a geometry-optimized Be5Se structure from Alexandria via LeMat-Bulk. Energies are from GGA-PBEsol. Values from VASP.

Results
- V (Å³ per atom) = 10.4
- magnetic moment (Bohr magnetons per cell) = 0.00
- raw formation energy (meV per atom) = 426

Cell and atoms, written as Quantum ESPRESSO input:
```
&SYSTEM
  ibrav = 0, nat = 6, ntyp = 2
/
ATOMIC_SPECIES
Be 9.01 Be.upf
Se 78.96 Se.upf
ATOMIC_POSITIONS crystal
Be 0.000 0.475 0.475
Be 0.000 0.525 0.000
Be 0.000 0.000 0.525
Be 0.500 0.333 0.667
Be 0.500 0.667 0.333
Se 0.500 0.000 0.000
CELL_PARAMETERS angstrom
-2.855 -1.577 -1.520
2.028 0.174 -3.989
0.563 -3.570 2.645
```

No. 2
Here is a geometry-optimized BeSe structure from Alexandria via LeMat-Bulk. Energies are from GGA-PBEsol. Values from VASP.

Results
- V (Å³ per atom) = 21.4
- magnetic moment (Bohr magnetons per cell) = 0.00
- raw formation energy (meV per atom) = -404
- energy above the lowest structure with this stoichiometry (eV/f.u.) = 0.79

Cell and atoms, written as Quantum ESPRESSO input:
```
&SYSTEM
  ibrav = 0, nat = 4, ntyp = 2
/
ATOMIC_SPECIES
Be 9.01 Be.upf
Se 78.96 Se.upf
ATOMIC_POSITIONS crystal
Be 0.750 0.492 0.119
Be 0.250 0.508 0.881
Se 0.750 0.269 0.754
Se 0.250 0.731 0.246
CELL_PARAMETERS angstrom
-3.055 -1.096 1.587
-0.954 -2.236 -3.380
2.901 -4.109 2.748
```

No. 3
Here is a geometry-optimized BeSi2Se structure from Alexandria via LeMat-Bulk. Energies are from GGA-PBEsol. Values from VASP.

Results
- V (Å³ per atom) = 15.9
- magnetic moment (Bohr magnetons per cell) = 0.00
- raw formation energy (meV per atom) = 366
- energy above the lowest structure with this stoichiometry (eV/f.u.) = 0.64

Cell and atoms, written as Quantum ESPRESSO input:
```
&SYSTEM
  ibrav = 0, nat = 4, ntyp = 3
/
ATOMIC_SPECIES
Be 9.01 Be.upf
Si 28.09 Si.upf
Se 78.96 Se.upf
ATOMIC_POSITIONS crystal
Be 0.500 0.500 0.500
Si 0.000 0.500 0.000
Si 0.500 0.000 0.000
Se 0.000 0.000 0.500
CELL_PARAMETERS angstrom
3.382 0.000 0.000
0.000 3.382 0.000
0.000 0.000 5.571
```

No. 4
Here is a geometry-optimized BeSiSe2 structure from Alexandria via LeMat-Bulk. Energies are from GGA-PBEsol. Values from VASP.

Results
- V (Å³ per atom) = 23.4
- magnetic moment (Bohr magnetons per cell) = 0.00
- raw formation energy (meV per atom) = 65

Cell and atoms, written as Quantum ESPRESSO input:
```
&SYSTEM
  ibrav = 0, nat = 4, ntyp = 3
/
ATOMIC_SPECIES
Be 9.01 Be.upf
Si 28.09 Si.upf
Se 78.96 Se.upf
ATOMIC_POSITIONS crystal
Be 0.000 0.000 0.000
Si 0.500 0.500 0.500
Se 0.901 0.901 0.297
Se 0.099 0.099 0.703
CELL_PARAMETERS angstrom
3.988 0.000 0.000
1.994 3.454 0.000
1.994 1.151 6.792
```

No. 5
Here is a geometry-optimized BeSi2Se structure from Alexandria via LeMat-Bulk. Energies are from GGA-PBEsol. Values from VASP.

Results
- V (Å³ per atom) = 18.0
- magnetic moment (Bohr magnetons per cell) = 0.00
- raw formation energy (meV per atom) = 206
- energy above the lowest structure with this stoichiometry (eV/f.u.) = 0.00

Cell and atoms, written as Quantum ESPRESSO input:
```
&SYSTEM
  ibrav = 0, nat = 4, ntyp = 3
/
ATOMIC_SPECIES
Be 9.01 Be.upf
Si 28.09 Si.upf
Se 78.96 Se.upf
ATOMIC_POSITIONS crystal
Be 0.000 0.394 0.380
Si 0.000 0.892 0.094
Si 0.500 0.877 0.358
Se 0.500 0.337 0.668
CELL_PARAMETERS angstrom
-0.797 -3.043 1.739
-1.484 -1.342 -3.029
4.890 -2.091 -1.417
```

No. 6
Here is a geometry-optimized BeSi2Se structure from Alexandria via LeMat-Bulk. Energies are from GGA-PBEsol. Values from VASP.

Results
- V (Å³ per atom) = 14.5
- magnetic moment (Bohr magnetons per cell) = 0.00
- raw formation energy (meV per atom) = 484
- energy above the lowest structure with this stoichiometry (eV/f.u.) = 1.11

Cell and atoms, written as Quantum ESPRESSO input:
```
&SYSTEM
  ibrav = 0, nat = 4, ntyp = 3
/
ATOMIC_SPECIES
Be 9.01 Be.upf
Si 28.09 Si.upf
Se 78.96 Se.upf
ATOMIC_POSITIONS crystal
Be 0.500 0.500 0.000
Si 0.000 0.000 0.788
Si 0.000 0.000 0.212
Se 0.500 0.500 0.500
CELL_PARAMETERS angstrom
3.203 0.000 0.000
0.000 3.203 0.000
0.000 0.000 5.667
```

No. 7
Here is a geometry-optimized BeSnSe2 structure from Alexandria via LeMat-Bulk. Energies are from GGA-PBEsol. Values from VASP.

Results
- V (Å³ per atom) = 19.5
- magnetic moment (Bohr magnetons per cell) = 0.00
- raw formation energy (meV per atom) = 230

Cell and atoms, written as Quantum ESPRESSO input:
```
&SYSTEM
  ibrav = 0, nat = 4, ntyp = 3
/
ATOMIC_SPECIES
Be 9.01 Be.upf
Sn 118.71 Sn.upf
Se 78.96 Se.upf
ATOMIC_POSITIONS crystal
Be 0.000 0.000 0.000
Sn 0.500 0.500 0.500
Se 0.250 0.250 0.250
Se 0.750 0.750 0.750
CELL_PARAMETERS angstrom
4.799 0.000 0.000
2.399 4.156 0.000
2.399 1.385 3.918
```

No. 8
Here is a geometry-optimized SrBeSe2 structure from Alexandria via LeMat-Bulk. Energies are from GGA-PBEsol. Values from VASP.

Results
- V (Å³ per atom) = 21.6
- magnetic moment (Bohr magnetons per cell) = 0.00
- raw formation energy (meV per atom) = -77

Cell and atoms, written as Quantum ESPRESSO input:
```
&SYSTEM
  ibrav = 0, nat = 4, ntyp = 3
/
ATOMIC_SPECIES
Sr 87.62 Sr.upf
Se 78.96 Se.upf
Be 9.01 Be.upf
ATOMIC_POSITIONS crystal
Sr 0.250 0.250 0.250
Se 0.000 0.000 0.000
Se 0.750 0.750 0.750
Be 0.500 0.500 0.500
CELL_PARAMETERS angstrom
-3.192 -2.372 -2.972
-1.403 -4.642 1.065
-4.631 -0.901 1.546
```